Here is a relaxed structure of Sb2BrCl from the Alexandria database. Energies are from GGA-PBE.

a = 6.881 Å, b = 9.934 Å, c = 3.489 Å
α = 90.00°, β = 120.02°, γ = 90.00°
Element x y z (fractional)
Sb 0.250 0.250 0.000
Sb 0.250 0.750 0.000
Sb 0.750 0.250 0.000
Sb 0.750 0.750 0.000
Br 0.000 0.000 0.000
Br 0.500 0.500 0.000
Cl 0.000 0.500 0.000
Cl 0.500 0.000 0.000

Summary:
Offset from the most stable computed form: 0.3299 eV/atom
Energy relative to the elements, uncorrected: -0.06 eV per atom
Crystal system: monoclinic
Total DFT energy (no corrections): -23.978 eV/cell